This record from Alexandria describes a relaxed structure of Cs2CaLaRe. The functional is PBE.

a = 7.1901 Å, b = 7.1901 Å, c = 5.1915 Å
α = 90.00°, β = 90.00°, γ = 90.00°
Closest atoms and distances in Å follow each position.
Space group P4/mmm (No. 123)
Asymmetric unit:
Cs  0.0000  0.5000  0.0000 x2  2 Re 3.60
Ca  0.0000  0.0000  0.5000 x1  8 Cs 4.43
La  0.5000  0.5000  0.5000 x1  2 Re 2.60
Re  0.5000  0.5000  0.0000 x1  2 La 2.60

Calculated total energy = -3.163 eV per atom
Formation energy from the elements = 24.30 kcal/mol of atoms
Magnetization = 0.000 μB per atom

This record from Alexandria describes a relaxed structure of CsCa2LaRh. The functional is PBE.

a = 6.0048 Å, b = 6.0048 Å, c = 5.4854 Å
α = 90.00°, β = 90.00°, γ = 90.00°
Closest atoms and distances in Å follow each position.
Space group P4/mmm (No. 123)
Asymmetric unit:
Cs  0.0000  0.0000  0.0000 x1  8 Ca 4.07, 4 La 4.25
Ca  0.0000  0.5000  0.5000 x2  2 Rh 3.00
La  0.5000  0.5000  0.0000 x1  2 Rh 2.74
Rh  0.5000  0.5000  0.5000 x1  2 La 2.74, 4 Ca 3.00

Calculated total energy = -3.562 eV per atom
Formation energy from the elements = -3.11 kcal/mol of atoms
Magnetization = 0.000 μB per atom

This record from Alexandria describes a relaxed structure of Cs3CaLa2Se6. The functional is PBE.

a = 7.7609 Å, b = 13.4452 Å, c = 8.7564 Å
α = 90.00°, β = 107.17°, γ = 90.00°
Closest atoms and distances in Å follow each position.
Space group C2/m (No. 12)
Asymmetric unit:
Cs  0.0000  0.0000  0.0000 x2  6 Se 3.66
Cs  0.0000  0.3347  0.0000 x4  6 Se 3.66-3.67
Ca  0.0000  0.5000  0.5000 x2  6 Se 3.04-3.05
La  0.0000  0.1667  0.5000 x4  6 Se 3.03-3.04
Se  0.2292  0.0000  0.6900 x4  2 La 3.03, 1 Ca 3.04
Se  0.2306  0.3329  0.6905 x8  2 La 3.04, 1 Ca 3.05

Calculated total energy = -4.568 eV per atom
Energy relative to the elements, uncorrected = -1624 meV per atom
Magnetization = 0.000 μB per atom

This record from Alexandria describes a relaxed structure of CsCaLaSn2. The functional is PBE.

a = 5.9553 Å, b = 5.9553 Å, c = 5.8271 Å
α = 90.00°, β = 90.00°, γ = 90.00°
Closest atoms and distances in Å follow each position.
Space group P4/mmm (No. 123)
Asymmetric unit:
Cs  0.0000  0.0000  0.0000 x1  8 Sn 4.17, 4 La 4.21
Ca  0.5000  0.5000  0.5000 x1  2 La 2.91, 4 Sn 2.98
La  0.5000  0.5000  0.0000 x1  2 Ca 2.91
Sn  0.0000  0.5000  0.5000 x2  2 Ca 2.98

Calculated total energy = -2.866 eV per atom
Formation energy from the elements = 6.72 kcal/mol of atoms
Magnetization = 0.087 μB per atom

This record from Alexandria describes a relaxed structure of Cs2CaLaTc. The functional is PBE.

a = 7.5473 Å, b = 7.5473 Å, c = 4.7314 Å
α = 90.00°, β = 90.00°, γ = 90.00°
Closest atoms and distances in Å follow each position.
Space group P4/mmm (No. 123)
Asymmetric unit:
Cs  0.0000  0.5000  0.0000 x2  2 La 3.77
Ca  0.0000  0.0000  0.5000 x1  8 Cs 4.45, 2 Ca 4.73
La  0.5000  0.5000  0.0000 x1  2 Tc 2.37
Tc  0.5000  0.5000  0.5000 x1  2 La 2.37

Calculated total energy = -2.948 eV per atom
Formation energy from the elements = 19.66 kcal/mol of atoms
Magnetization = 0.000 μB per atom

This record from Alexandria describes a relaxed structure of CsCa2LaTl. The functional is PBE.

a = 6.2278 Å, b = 6.2278 Å, c = 6.3476 Å
α = 90.00°, β = 90.00°, γ = 90.00°
Closest atoms and distances in Å follow each position.
Space group P4/mmm (No. 123)
Asymmetric unit:
Cs  0.0000  0.0000  0.0000 x1  4 La 4.40, 8 Ca 4.45
Ca  0.0000  0.5000  0.5000 x2  2 Tl 3.11
La  0.5000  0.5000  0.0000 x1  2 Tl 3.17
Tl  0.5000  0.5000  0.5000 x1  4 Ca 3.11, 2 La 3.17

Calculated total energy = -2.295 eV per atom
Formation energy from the elements = 3.10 kcal/mol of atoms
Magnetization = 0.000 μB per atom

Number 1: mass density 3.90 g/cm³. Number 2: mass density 3.82 g/cm³. Number 3: mass density 4.53 g/cm³. Number 4: mass density 4.41 g/cm³. Number 5: mass density 3.34 g/cm³. Number 6: mass density 3.75 g/cm³.